(1)
# In2GaSe

A relaxed structure of In2GaSe (PBE, Alexandria).

Lattice parameters (Å, degrees): 4.674 4.664 4.664 90.00 90.00 90.00
Fractional coordinates of all 4 atoms:
Se (0.500, 0.500, 0.500)
In (0.000, 0.500, 0.000)
In (0.000, 0.000, 0.500)
Ga (0.500, 0.000, 0.000)

Spin magnetization = 0.000 μB per cell
Space group = P4/mmm, No. 123
Formation energy (no corrections) = -1.78 kcal/mol of atoms
Total DFT energy (no corrections) = -3.074 eV per atom


(2)
# La4HoEr10

A relaxed structure of La4HoEr10 (PBE, Alexandria).

Lattice parameters (Å, degrees): 10.616 8.716 8.716 68.23 52.48 52.48
Fractional coordinates of all 15 atoms:
Er (0.130, 0.096, 0.322)
Er (0.452, 0.096, 0.322)
Er (0.548, 0.322, 0.904)
Er (0.226, 0.322, 0.904)
Er (0.452, 0.678, 0.096)
Er (0.870, 0.904, 0.678)
Er (0.750, 0.500, 0.500)
Er (0.548, 0.904, 0.678)
Er (0.774, 0.678, 0.096)
Er (0.250, 0.500, 0.500)
La (0.336, 0.732, 0.597)
La (0.067, 0.597, 0.268)
La (0.664, 0.268, 0.403)
La (0.933, 0.403, 0.732)
Ho (0.000, 0.000, 0.000)

Spin magnetization = 0.000 μB per cell
Space group = I4/m, No. 87
Formation energy = 5.593 eV/f.u.
Total DFT energy (no corrections) = -4.288 eV per atom